Record 1
Computed, not measured: a geometry-optimized Na3Hg2 structure at the PBE level of DFT.

Cell lengths 8.6531, 8.6531, 7.2993 Å; angles 90.00, 90.00, 90.00 degrees
Sites, in units of the cell vectors:
Hg 0.1389 0.1389 0.2065
Hg 0.8611 0.8611 0.2065
Hg 0.6389 0.3611 0.2935
Hg 0.3611 0.6389 0.2935
Hg 0.6389 0.3611 0.7065
Hg 0.3611 0.6389 0.7065
Hg 0.1389 0.1389 0.7935
Hg 0.8611 0.8611 0.7935
Na 0.5000 0.0000 0.0000
Na 0.8203 0.1797 0.0000
Na 0.3656 0.3656 0.0000
Na 0.0000 0.5000 0.0000
Na 0.6344 0.6344 0.0000
Na 0.1797 0.8203 0.0000
Na 0.5000 0.0000 0.5000
Na 0.8656 0.1344 0.5000
Na 0.3203 0.3203 0.5000
Na 0.0000 0.5000 0.5000
Na 0.6797 0.6797 0.5000
Na 0.1344 0.8656 0.5000

Properties
Mass density = 5.71 Mg/m³
Space-group type = P4_2/mnm (136)
Total energy = -21.59 eV/cell

Record 2
Computed, not measured: a geometry-optimized TaCdTe2 structure at the PBE level of DFT.

Cell lengths 5.1080, 5.1080, 5.1080 Å; angles 60.00, 60.00, 60.00 degrees
Sites, in units of the cell vectors:
Cd 0.5000 0.5000 0.5000
Ta 0.7500 0.7500 0.7500
Te 0.0000 0.0000 0.0000
Te 0.2500 0.2500 0.2500

Properties
Mass density = 9.67 Mg/m³
Space-group type = F-43m (216)
Total energy = -16.04 eV/cell

Record 3
Computed, not measured: a geometry-optimized Lu2InAu structure at the PBE level of DFT.

Cell lengths 5.0977, 5.0977, 5.0977 Å; angles 60.00, 60.00, 60.00 degrees
Sites, in units of the cell vectors:
Au 0.2500 0.2500 0.2500
In 0.5000 0.5000 0.5000
Lu 0.0000 0.0000 0.0000
Lu 0.7500 0.7500 0.7500

Properties
Mass density = 11.73 Mg/m³
Space-group type = F-43m (216)
Total energy = -15.95 eV/cell

Record 4
Computed, not measured: a geometry-optimized TbTmAsO structure at the PBE level of DFT.

Cell lengths 4.1686, 7.5080, 5.9237 Å; angles 90.00, 90.00, 90.00 degrees
Sites, in units of the cell vectors:
As 0.0000 0.8349 0.4283
As 0.0000 0.1651 0.9283
O 0.5000 0.3354 0.3751
O 0.5000 0.6646 0.8751
Tb 0.0000 0.2114 0.4377
Tb 0.0000 0.7886 0.9377
Tm 0.5000 0.3889 0.0129
Tm 0.5000 0.6111 0.5129

Properties
Mass density = 7.50 Mg/m³
Space-group type = Pmc2_1 (26)
Total energy = -53.30 eV/cell

Record 5
Computed, not measured: a geometry-optimized RbErSeO structure at the PBE level of DFT.

Cell lengths 5.7372, 5.7317, 13.9461 Å; angles 90.00, 108.44, 90.00 degrees
Sites, in units of the cell vectors:
Er 0.0552 0.8423 0.0753
Er 0.5549 0.3411 0.0756
Er 0.4451 0.8411 0.9244
Er 0.9448 0.3423 0.9247
O 0.2506 0.5887 0.0002
O 0.7505 0.5865 0.0005
O 0.2495 0.0865 0.9995
O 0.7494 0.0887 0.9998
Rb 0.4898 0.6332 0.3503
Rb 0.9901 0.1358 0.3518
Rb 0.0099 0.6358 0.6482
Rb 0.5102 0.1332 0.6497
Se 0.3946 0.1356 0.2359
Se 0.8966 0.6368 0.2364
Se 0.1034 0.1368 0.7636
Se 0.6054 0.6356 0.7641

Properties
Mass density = 5.31 Mg/m³
Space-group type = P2_1 (4)
Total energy = -91.26 eV/cell

Record 6
Computed, not measured: a geometry-optimized PaRePd structure at the PBE level of DFT.

Cell lengths 4.5014, 4.5014, 4.5014 Å; angles 60.00, 60.00, 60.00 degrees
Sites, in units of the cell vectors:
Pa 0.0000 0.0000 0.0000
Pd 0.7500 0.7500 0.7500
Re 0.5000 0.5000 0.5000

Properties
Mass density = 13.48 Mg/m³
Space-group type = F-43m (216)
Energy of formation from the pure elements = 0.449 eV per atom

Record 7
Computed, not measured: a geometry-optimized PmMgAs structure at the PBE level of DFT.

Cell lengths 4.7718, 4.7718, 4.7718 Å; angles 60.00, 60.00, 60.00 degrees
Sites, in units of the cell vectors:
As 0.0000 0.0000 0.0000
Mg 0.2500 0.2500 0.2500
Pm 0.7500 0.7500 0.7500

Properties
Mass density = 5.28 Mg/m³
Space-group type = F-43m (216)
Total energy = -12.57 eV/cell

Record 8
Computed, not measured: a geometry-optimized Dy2Y2CCl5 structure at the PBE level of DFT.

Cell lengths 8.7114, 8.7114, 7.7947 Å; angles 103.40, 103.40, 24.72 degrees
Sites, in units of the cell vectors:
C 0.5000 0.5000 0.0000
Cl 0.8288 0.8288 0.1609
Cl 0.1641 0.1641 0.3399
Cl 0.5000 0.5000 0.5000
Cl 0.8359 0.8359 0.6601
Cl 0.1712 0.1712 0.8391
Dy 0.9989 0.9989 0.2101
Dy 0.0011 0.0011 0.7899
Y 0.6447 0.6447 0.0811
Y 0.3553 0.3553 0.9189

Properties
Mass density = 4.78 Mg/m³
Space-group type = C2/m (12)
Total energy = -57.64 eV/cell

Record 9
Computed, not measured: a geometry-optimized PmMg2Pb structure at the PBE level of DFT.

Cell lengths 4.6297, 4.6297, 4.8640 Å; angles 90.00, 90.00, 90.00 degrees
Sites, in units of the cell vectors:
Mg 0.5000 0.0000 0.0000
Mg 0.0000 0.5000 0.0000
Pb 0.0000 0.0000 0.5000
Pm 0.5000 0.5000 0.5000

Properties
Mass density = 6.38 Mg/m³
Space-group type = P4/mmm (123)
Total energy = -12.88 eV/cell

Record 10
Computed, not measured: a geometry-optimized Na4Zn2SnPb structure at the PBE level of DFT.

Cell lengths 4.8594, 4.8594, 10.1648 Å; angles 90.00, 90.00, 120.00 degrees
Sites, in units of the cell vectors:
Na 0.6667 0.3333 0.1695
Na 0.0000 0.0000 0.3362
Na 0.0000 0.0000 0.6638
Na 0.6667 0.3333 0.8305
Pb 0.0000 0.0000 0.0000
Sn 0.6667 0.3333 0.5000
Zn 0.3333 0.6667 0.0000
Zn 0.3333 0.6667 0.5000

Properties
Mass density = 4.38 Mg/m³
Space-group type = P-6m2 (187)
Total energy = -16.63 eV/cell

Record 11
Computed, not measured: a geometry-optimized Li2ZnPtS4 structure at the PBE level of DFT.

Cell lengths 5.7739, 6.0345, 10.6059 Å; angles 90.00, 122.84, 90.00 degrees
Sites, in units of the cell vectors:
Li 0.1599 0.8700 0.0732
Li 0.9101 0.6903 0.3115
Li 0.1599 0.1300 0.5732
Li 0.9101 0.3097 0.8115
Pt 0.6555 0.1978 0.0745
Pt 0.6555 0.8022 0.5745
S 0.5543 0.8313 0.0509
S 0.0569 0.2540 0.0824
S 0.8394 0.2817 0.3225
S 0.3523 0.7180 0.3238
S 0.5543 0.1687 0.5509
S 0.0569 0.7460 0.5824
S 0.8394 0.7183 0.8225
S 0.3523 0.2820 0.8238
Zn 0.4401 0.3372 0.3239
Zn 0.4401 0.6628 0.8239

Properties
Mass density = 4.31 Mg/m³
Space-group type = Pc (7)
Total energy = -64.20 eV/cell

Record 12
Computed, not measured: a geometry-optimized OsS2O6 structure at the PBE level of DFT.

Cell lengths 4.5584, 8.1445, 6.6429 Å; angles 90.00, 110.31, 90.00 degrees
Sites, in units of the cell vectors:
O 0.3527 0.1574 0.0846
O 0.2714 0.8396 0.2130
O 0.1040 0.5561 0.2352
O 0.8960 0.0561 0.2648
O 0.7286 0.3396 0.2870
O 0.6473 0.6574 0.4154
O 0.3527 0.3426 0.5846
O 0.2714 0.6604 0.7130
O 0.1040 0.9439 0.7352
O 0.8960 0.4439 0.7648
O 0.7286 0.1604 0.7870
O 0.6473 0.8426 0.9154
Os 0.0000 0.0000 0.0000
Os 0.0000 0.5000 0.5000
S 0.3643 0.6570 0.1941
S 0.6357 0.1570 0.3059
S 0.3643 0.8430 0.6941
S 0.6357 0.3430 0.8059

Properties
Mass density = 5.03 Mg/m³
Space-group type = P2_1/c (14)
Total energy = -114.17 eV/cell